(P)
LiGa4Hg: relaxed, PBE.

a = 4.8027 Å, b = 4.8027 Å, c = 6.0880 Å
α = 98.71°, β = 98.71°, γ = 56.20°
Closest atoms and distances in Å follow each position.
Atoms (fractional coordinates):
Li 0.0000 0.0000 0.0000  10 Ga 2.88-3.10, 2 Hg 3.04
Ga 0.3324 0.3324 0.2222  4 Ga 2.71-2.79, 1 Li 2.91, 2 Hg 3.03
Ga 0.3413 0.3413 0.7659  4 Ga 2.71-2.79, 2 Li 2.88
Ga 0.6587 0.6587 0.2341  4 Ga 2.71-2.79, 2 Li 2.88
Ga 0.6676 0.6676 0.7778  4 Ga 2.71-2.79, 1 Li 2.91, 2 Hg 3.03
Hg 0.0000 0.0000 0.5000  10 Ga 3.03-3.21, 2 Li 3.04

Calculated values
Magnetization   0.000 μB per formula unit
DOS(E_F)   0.2151 states/eV/atom
Space-group type   C2/m

=====

(Q)
LiGa4Hg: relaxed, PBE.

a = 5.5471 Å, b = 5.5471 Å, c = 5.5471 Å
α = 60.00°, β = 60.00°, γ = 60.00°
Closest atoms and distances in Å follow each position.
Atoms (fractional coordinates):
Li 0.0000 0.0000 0.0000  12 Ga 3.25, 4 Hg 3.40
Ga 0.3747 0.3747 0.3747  6 Ga 2.77-2.78
Ga 0.3747 0.3747 0.8759  6 Ga 2.77-2.78
Ga 0.3747 0.8759 0.3747  6 Ga 2.77-2.78
Ga 0.8759 0.3747 0.3747  6 Ga 2.77-2.78
Hg 0.7500 0.7500 0.7500  12 Ga 3.25, 4 Li 3.40

Calculated values
Magnetization   0.000 μB per formula unit
DOS(E_F)   0.0835 states/eV/atom
Space-group type   F-43m

=====

Bottom line: (P), by a margin of 25 meV per atom.

=====

(P)
LiGaHg: relaxed, PBE.

a = 4.6301 Å, b = 4.6301 Å, c = 3.1705 Å
α = 90.00°, β = 90.00°, γ = 120.00°
Closest atoms and distances in Å follow each position.
Atoms (fractional coordinates):
Li 0.0000 0.0000 0.0000  6 Hg 3.10-3.11, 6 Ga 3.11, 2 Li 3.17
Ga 0.3333 0.6667 0.4987  3 Hg 2.67
Hg 0.6667 0.3333 0.5022  3 Ga 2.67

Calculated values
Magnetization   0.000 μB per formula unit
DOS(E_F)   0.3132 states/eV/atom
Space-group type   P3m1

=====

(Q)
LiGaHg: relaxed, PBE.

a = 5.0029 Å, b = 5.0029 Å, c = 5.0029 Å
α = 137.52°, β = 137.52°, γ = 61.64°
Closest atoms and distances in Å follow each position.
Atoms (fractional coordinates):
Li 0.0000 0.0000 0.0000  5 Ga 2.85-2.94, 5 Hg 2.89-2.92
Ga 0.6684 0.6684 0.0000  5 Li 2.85-2.94, 5 Hg 2.85-2.94
Hg 0.3368 0.3368 0.0000  5 Ga 2.85-2.94, 5 Li 2.89-2.92

Calculated values
Magnetization   0.000 μB per formula unit
DOS(E_F)   0.2621 states/eV/atom
Space-group type   I4mm

=====

Bottom line: (P), by a margin of 28 meV per atom.

=====

(P)
Li3Ga4Hg2: relaxed, PBE.

a = 4.6912 Å, b = 4.8150 Å, c = 8.6408 Å
α = 77.31°, β = 89.81°, γ = 60.88°
Closest atoms and distances in Å follow each position.
Atoms (fractional coordinates):
Li 0.0000 0.0000 0.0000  6 Ga 2.73-2.87, 2 Hg 2.81
Li 0.4070 0.2237 0.6116  3 Ga 2.75-2.87, 4 Hg 2.79-2.95, 1 Li 3.02
Li 0.5930 0.7763 0.3884  3 Ga 2.75-2.87, 4 Hg 2.79-2.95, 1 Li 3.02
Ga 0.0827 0.8723 0.6610  2 Ga 2.73-2.94, 3 Li 2.75-2.87, 3 Hg 2.79-2.81
Ga 0.3300 0.3443 0.9578  3 Li 2.73-2.87, 4 Ga 2.81-2.94, 2 Hg 3.04-3.05
Ga 0.6700 0.6557 0.0422  3 Li 2.73-2.87, 4 Ga 2.81-2.94, 2 Hg 3.04-3.05
Ga 0.9173 0.1277 0.3390  2 Ga 2.73-2.94, 3 Li 2.75-2.87, 3 Hg 2.79-2.81
Hg 0.2338 0.4985 0.2833  5 Ga 2.79-3.05, 5 Li 2.79-2.95
Hg 0.7662 0.5015 0.7167  5 Ga 2.79-3.05, 5 Li 2.79-2.95

Calculated values
Magnetization   0.000 μB per formula unit
DOS(E_F)   0.1254 states/eV/atom
Space-group type   P-1

=====

(Q)
Li3Ga4Hg2: relaxed, PBE.

a = 5.6485 Å, b = 5.6485 Å, c = 8.3931 Å
α = 117.69°, β = 117.69°, γ = 47.10°
Closest atoms and distances in Å follow each position.
Atoms (fractional coordinates):
Li 0.0000 0.0000 0.0000  8 Ga 2.95-3.25, 4 Hg 3.05, 2 Li 3.16
Li 0.3330 0.3330 0.3367  8 Ga 2.96-3.27, 4 Hg 2.97-3.23, 2 Li 3.14-3.16
Li 0.6670 0.6670 0.6633  8 Ga 2.96-3.27, 4 Hg 2.97-3.23, 2 Li 3.14-3.16
Ga 0.0337 0.0337 0.3749  2 Ga 2.53-2.73, 2 Hg 2.68
Ga 0.2495 0.2495 0.9252  3 Ga 2.58-2.73, 1 Hg 2.69
Ga 0.7505 0.7505 0.0748  3 Ga 2.58-2.73, 1 Hg 2.69
Ga 0.9663 0.9663 0.6251  2 Ga 2.53-2.73, 2 Hg 2.68
Hg 0.3787 0.3787 0.7163  3 Ga 2.68-2.69, 1 Li 2.97
Hg 0.6213 0.6213 0.2837  3 Ga 2.68-2.69, 1 Li 2.97

Calculated values
Magnetization   0.000 μB per formula unit
DOS(E_F)   0.3075 states/eV/atom
Space-group type   C2/m

=====

Bottom line: (Q), by a margin of 37 meV per atom.

=====

(P)
LiGa3Hg: relaxed, PBE.

a = 4.7373 Å, b = 6.1536 Å, c = 6.8982 Å
α = 90.17°, β = 90.57°, γ = 103.19°
Closest atoms and distances in Å follow each position.
Atoms (fractional coordinates):
Li 0.0000 0.0000 0.0000  3 Hg 2.73-2.96, 5 Ga 2.77-2.88
Li 0.3764 0.5532 0.5004  8 Ga 2.78-3.00, 2 Hg 2.95-3.09
Ga 0.2439 0.0935 0.4311  5 Ga 2.65-2.86, 1 Li 2.79, 1 Hg 2.91
Ga 0.4474 0.8292 0.1712  4 Ga 2.64-2.77, 3 Li 2.82-2.86, 1 Hg 2.83
Ga 0.5450 0.2810 0.0908  3 Ga 2.73-2.86, 3 Hg 2.76-3.03, 1 Li 2.82
Ga 0.8125 0.2854 0.5116  4 Ga 2.65-2.86, 2 Li 2.80-2.92, 1 Hg 2.95
Ga 0.8869 0.6511 0.2626  5 Ga 2.64-2.80, 2 Li 2.77-2.88
Ga 0.9269 0.7366 0.6490  3 Ga 2.71-2.86, 3 Hg 2.73-2.83, 3 Li 2.78-2.88
Hg 0.1155 0.4424 0.9071  1 Li 2.73, 3 Ga 2.76-2.96
Hg 0.5005 0.9340 0.7722  6 Ga 2.73-3.03, 3 Li 2.78-2.96

Calculated values
Magnetization   0.000 μB per formula unit
DOS(E_F)   0.1395 states/eV/atom
Space-group type   P1

=====

(Q)
LiGa3Hg: relaxed, PBE.

a = 4.7491 Å, b = 4.7491 Å, c = 4.7491 Å
α = 90.00°, β = 90.00°, γ = 90.00°
Closest atoms and distances in Å follow each position.
Atoms (fractional coordinates):
Li 0.0000 0.0000 0.0000  6 Ga 2.37
Ga 0.0000 0.0000 0.5000  2 Li 2.37
Ga 0.0000 0.5000 0.0000  2 Li 2.37
Ga 0.5000 0.0000 0.0000  2 Li 2.37
Hg 0.5000 0.5000 0.5000  12 Ga 3.36

Calculated values
Magnetization   0.000 μB per formula unit
DOS(E_F)   0.4180 states/eV/atom
Space-group type   Pm-3m

=====

(R)
LiGa3Hg: relaxed, PBE.

a = 5.2773 Å, b = 6.6625 Å, c = 5.9413 Å
α = 90.00°, β = 104.96°, γ = 90.00°
Closest atoms and distances in Å follow each position.
Atoms (fractional coordinates):
Li 0.1168 0.2500 0.4173  6 Ga 2.82-3.09, 1 Hg 2.88
Li 0.8832 0.7500 0.5827  6 Ga 2.82-3.09, 1 Hg 2.88
Ga 0.1915 0.0526 0.9013  4 Ga 2.60-2.73
Ga 0.1915 0.4474 0.9013  4 Ga 2.60-2.73
Ga 0.4323 0.7500 0.7723  4 Ga 2.60-2.73, 1 Hg 2.67, 2 Li 2.82-2.88
Ga 0.5677 0.2500 0.2277  4 Ga 2.60-2.73, 1 Hg 2.67, 2 Li 2.82-2.88
Ga 0.8085 0.5526 0.0987  4 Ga 2.60-2.73
Ga 0.8085 0.9474 0.0987  4 Ga 2.60-2.73
Hg 0.3452 0.7500 0.3098  1 Ga 2.67, 1 Li 2.88
Hg 0.6548 0.2500 0.6902  1 Ga 2.67, 1 Li 2.88

Calculated values
Magnetization   0.000 μB per formula unit
DOS(E_F)   0.3308 states/eV/atom
Space-group type   P2_1/m

=====

Bottom line: (P), by a margin of 7 meV per atom.